## LiNd3Mg2 (PBE)

Data for a relaxed structure of LiNd3Mg2.

SG	No. 123
magnetic moment	0.00	μB per formula unit
energy relative to the elements	-0.24	eV/f.u.
total energy	-3.274	eV per atom

```
LiNd3Mg2
1.0
-1.0106 -3.1241 2.0700
2.5650 -2.1397 -1.9770
8.1352 2.5403 7.8054
Mg Li Nd
2 1 3
direct
0.5000 0.5000 0.8341
0.5000 0.5000 0.1659
0.5000 0.5000 0.5000
0.0000 0.0000 0.3323
0.0000 0.0000 0.6677
0.0000 0.0000 0.0000
```

## LiNdMg4 (PBE)

Data for a relaxed structure of LiNdMg4.

SG	No. 123
magnetic moment	0.00	μB per formula unit
energy relative to the elements	-0.38	eV/f.u.
total energy	-2.241	eV per atom

```
LiNdMg4
1.0
3.4596 0.0000 0.0001
0.0000 3.4597 0.0001
-0.0005 -0.0004 12.0744
Mg Li Nd
4 1 1
direct
0.5000 0.5000 0.7992
0.0000 0.0000 0.3606
0.5000 0.5000 0.2008
0.0000 0.0000 0.6394
0.5000 0.5000 0.5000
0.0000 0.0000 0.0000
```